# PBE+U Sr4CeMn5O15, relaxed
# * D(E_F): 0.107 states/eV/atom
# * energy: -358.20 eV/cell
data_Sr4CeMn5O15
_cell_length_a 16.509
_cell_length_b 5.513
_cell_length_c 6.737
_cell_angle_alpha 90.00
_cell_angle_beta 105.70
_cell_angle_gamma 90.00
_space_group_name_H-M_alt 'C 1 2/m 1'
_space_group_IT_number 12
_space_group_name_Hall '-C 2y'
loop_
_atom_site_label
_atom_site_type_symbol
_atom_site_fract_x
_atom_site_fract_y
_atom_site_fract_z
_atom_site_occupancy
Sr1 Sr 0.101 0.000 0.399 1
Sr2 Sr 0.198 0.500 0.798 1
Ce1 Ce 0.000 0.500 0.000 1
Mn1 Mn 0.000 0.500 0.500 1
Mn2 Mn 0.100 0.000 0.902 1
Mn3 Mn 0.200 0.500 0.302 1
O1 O 0.000 0.000 0.000 1
O2 O 0.046 0.259 0.713 1
O3 O 0.098 0.500 0.398 1
O4 O 0.138 0.262 0.098 1
O5 O 0.203 0.000 0.816 1
O6 O 0.250 0.250 0.500 1